First-principles (PBE) data for AgBiI3 after structural relaxation, as listed in the Alexandria database.

abc: 6.1778 6.1778 6.1778
angles: 90.00 90.00 90.00
Fractional positions:
I 0.0000 0.0000 0.5000
I 0.5000 0.0000 0.0000
I 0.0000 0.5000 0.0000
Bi 0.0000 0.0000 0.0000
Ag 0.5000 0.5000 0.5000

ΔE_f (raw) in eV/atom: 0.14
D(E_F) in states/eV per atom: 1.186
Theoretical density in kg/m³: 4913
Electronic total energy in eV/f.u.: -10.7
Total magnetic moment in μB/f.u.: 0.0
Excess energy over the best structure of this formula in the dataset in eV/atom: 0.310

---

First-principles (PBE) data for AgBiI3 after structural relaxation, as listed in the Alexandria database.

abc: 5.6446 5.6446 5.6446
angles: 90.00 90.00 90.00
Fractional positions:
Ag 0.0000 0.0000 0.0000
Bi 0.5000 0.5000 0.5000
I 0.5000 0.0000 0.0000
I 0.0000 0.5000 0.0000
I 0.0000 0.0000 0.5000

ΔE_f (raw) in eV/atom: 0.22
D(E_F) in states/eV per atom: 0.912
Theoretical density in kg/m³: 6441
Electronic total energy in eV/f.u.: -10.3
Total magnetic moment in μB/f.u.: 0.0
Excess energy over the best structure of this formula in the dataset in eV/atom: 0.382

---

First-principles (PBE) data for Ag2BiI5 after structural relaxation, as listed in the Alexandria database.

abc: 7.6983 8.3552 8.1790
angles: 59.30 67.90 89.98
Fractional positions:
I 0.2753 0.2555 0.0010
I 0.6586 0.6039 0.2930
I 0.9064 0.1656 0.6687
I 0.6584 0.1031 0.2931
I 0.2755 0.7436 0.0009
Ag 0.5261 0.9832 0.0332
Ag 0.9552 0.3976 0.2050
Bi 0.9675 0.9704 0.0592

ΔE_f (raw) in eV/atom: -0.25
Theoretical density in kg/m³: 4324
Electronic total energy in eV/f.u.: -19.4
Total magnetic moment in μB/f.u.: 0.0

---

First-principles (PBE) data for AgBiI6 after structural relaxation, as listed in the Alexandria database.

abc: 12.2093 13.4961 8.3253
angles: 34.87 41.10 30.75
Fractional positions:
I 0.1929 0.4199 0.7973
I 0.8071 0.5801 0.2027
I 0.6498 0.2345 0.3688
I 0.7075 0.0518 0.0530
I 0.2925 0.9482 0.9470
I 0.3502 0.7655 0.6312
Bi 0.5000 0.5000 0.5000
Ag 0.0000 0.0000 0.0000

ΔE_f (raw) in eV/atom: -0.20
Theoretical density in kg/m³: 4527
Electronic total energy in eV/f.u.: -17.6
Total magnetic moment in μB/f.u.: 0.0

---

First-principles (PBE) data for Ag2BiI4 after structural relaxation, as listed in the Alexandria database.

abc: 6.4679 6.4679 7.5722
angles: 90.00 90.00 90.00
Last column: magnetic moment on the atom in μB.
Fractional positions:
Bi 0.0000 0.0000 0.0000  0.51
Ag 0.5000 0.0000 0.5000  0.01
Ag 0.0000 0.5000 0.5000  0.01
I 0.7418 0.2582 0.7262  0.03
I 0.2582 0.2582 0.2738  0.03
I 0.7418 0.7418 0.2738  0.03
I 0.2582 0.7418 0.7262  0.03

ΔE_f (raw) in eV/atom: -0.13
D(E_F) in states/eV per atom: 0.442
Theoretical density in kg/m³: 4887
Electronic total energy in eV/f.u.: -16.7
Total magnetic moment in μB/f.u.: 1.0

---

First-principles (PBE) data for AgBi2I2 after structural relaxation, as listed in the Alexandria database.

abc: 7.7055 7.7055 6.0989
angles: 90.00 90.00 90.00
Fractional positions:
Bi 0.1464 0.3536 0.0000
Bi 0.8536 0.6464 0.0000
Bi 0.3536 0.8536 0.0000
Bi 0.6464 0.1464 0.0000
I 0.6905 0.1905 0.5000
I 0.1905 0.3095 0.5000
I 0.3095 0.8095 0.5000
I 0.8095 0.6905 0.5000
Ag 0.5000 0.5000 0.0000
Ag 0.0000 0.0000 0.0000

ΔE_f (raw) in eV/atom: -0.02
D(E_F) in states/eV per atom: 0.290
Theoretical density in kg/m³: 7150
Electronic total energy in eV/f.u.: -13.8
Total magnetic moment in μB/f.u.: 0.0

---

First-principles (PBE) data for Ag2BiI6 after structural relaxation, as listed in the Alexandria database.

abc: 7.2700 7.2700 13.3782
angles: 90.00 90.00 90.00
Fractional positions:
I 0.8100 0.1900 0.5000
I 0.1977 0.8023 0.1747
I 0.6977 0.6977 0.3253
I 0.3023 0.3023 0.6747
I 0.6977 0.6977 0.6747
I 0.6900 0.6900 0.0000
I 0.8023 0.1977 0.8253
I 0.8023 0.1977 0.1747
I 0.1977 0.8023 0.8253
I 0.1900 0.8100 0.5000
I 0.3100 0.3100 0.0000
I 0.3023 0.3023 0.3253
Ag 0.0000 0.0000 0.3329
Ag 0.0000 0.0000 0.6671
Ag 0.5000 0.5000 0.8329
Ag 0.5000 0.5000 0.1671
Bi 0.5000 0.5000 0.5000
Bi 0.0000 0.0000 0.0000

ΔE_f (raw) in eV/atom: -0.23
D(E_F) in states/eV per atom: 1.034
Theoretical density in kg/m³: 5571
Electronic total energy in eV/f.u.: -21.0
Total magnetic moment in μB/f.u.: 0.0

---

First-principles (PBE) data for Ag2BiI2 after structural relaxation, as listed in the Alexandria database.

abc: 4.0797 4.0797 10.2372
angles: 78.51 78.51 90.00
Last column: magnetic moment on the atom in μB.
Fractional positions:
Ag 0.2500 0.7500 0.5000  0.02
Ag 0.7500 0.2500 0.5000  0.02
I 0.6415 0.6415 0.7170  0.02
I 0.3585 0.3585 0.2830  0.02
Bi 0.0000 0.0000 0.0000  0.47

ΔE_f (raw) in eV/atom: 0.21
D(E_F) in states/eV per atom: 0.463
Theoretical density in kg/m³: 6892
Electronic total energy in eV/f.u.: -11.6
Total magnetic moment in μB/f.u.: 0.9
Excess energy over the best structure of this formula in the dataset in eV/atom: 0.000